Compound: Be2ZnRh
Source: Alexandria
Functional: PBE
Structure: optimized geometry

Calculated values
- SG = I-42d (122)
- total magnetization (μB per formula unit) = 0.00
- final energy (eV/atom) = -3.96
- energy relative to the elements (meV per atom) = 62

```
Be2ZnRh
1.0
-3.090 3.090 2.511
3.090 -3.090 2.511
3.090 3.090 -2.511
Be Zn Rh
4 2 2
Cartesian
4.635 1.500 -0.628
1.500 1.545 0.628
-1.545 1.590 1.883
1.590 1.545 3.138
3.090 0.000 1.255
0.000 0.000 2.511
0.000 0.000 0.000
0.000 3.090 1.255
```